[1]
The following is a DFT calculation (PBE) of Hf4TaFe5 after structural relaxation.

Symmetry ... P4/mmm, No. 123
DOS(E_F) ... 5.339 states/eV per cell
DFT total energy ... -9.69 eV per atom
Magnetization ... 1.28 μB per formula unit

a b c (Å): 3.115 3.115 15.648
angles (deg): 90.00 90.00 90.00
Element x y z (fractional)
Hf 0.000 0.000 0.101
Hf 0.000 0.000 0.302
Hf 0.000 0.000 0.698
Hf 0.000 0.000 0.899
Ta 0.000 0.000 0.500
Fe 0.500 0.500 0.000
Fe 0.500 0.500 0.202
Fe 0.500 0.500 0.406
Fe 0.500 0.500 0.594
Fe 0.500 0.500 0.798

[2]
The following is a DFT calculation (PBE) of Dy2AlGa3Au4 after structural relaxation.

Symmetry ... P-4m2, No. 115
DOS(E_F) ... 3.945 states/eV per cell
DFT total energy ... -4.13 eV per atom
Magnetization ... 0.00 μB per formula unit

a b c (Å): 4.329 4.329 10.663
angles (deg): 90.00 90.00 90.00
Element x y z (fractional)
Dy 0.000 0.500 0.245
Dy 0.500 0.000 0.755
Al 0.000 0.000 0.500
Ga 0.000 0.500 0.864
Ga 0.500 0.000 0.136
Ga 0.500 0.500 0.500
Au 0.000 0.000 0.000
Au 0.000 0.500 0.632
Au 0.500 0.000 0.368
Au 0.500 0.500 0.000

[3]
The following is a DFT calculation (PBE) of Ac8NdSm4 after structural relaxation.

Symmetry ... R-3m, No. 166
DOS(E_F) ... 20.197 states/eV per cell
DFT total energy ... -3.95 eV per atom
Magnetization ... 0.00 μB per formula unit

a b c (Å): 8.376 8.376 8.376
angles (deg): 90.06 90.06 90.06
Element x y z (fractional)
Ac 0.240 0.240 0.240
Ac 0.240 0.240 0.760
Ac 0.240 0.760 0.240
Ac 0.240 0.760 0.760
Ac 0.760 0.240 0.240
Ac 0.760 0.240 0.760
Ac 0.760 0.760 0.240
Ac 0.760 0.760 0.760
Nd 0.500 0.500 0.500
Sm 0.000 0.000 0.000
Sm 0.000 0.500 0.500
Sm 0.500 0.000 0.500
Sm 0.500 0.500 0.000

[4]
The following is a DFT calculation (PBE) of La2TlBRu after structural relaxation.

Symmetry ... P4/mmm, No. 123
DOS(E_F) ... 4.846 states/eV per cell
DFT total energy ... -5.09 eV per atom
Magnetization ... 0.78 μB per formula unit

a b c (Å): 5.328 5.328 5.218
angles (deg): 90.00 90.00 90.00
Element x y z (fractional)
La 0.000 0.500 0.000
La 0.500 0.000 0.000
Tl 0.000 0.000 0.500
B 0.500 0.500 0.500
Ru 0.000 0.000 0.000

[5]
The following is a DFT calculation (PBE) of Tb7Dy2In after structural relaxation.

Symmetry ... Cmmm, No. 65
DOS(E_F) ... 10.262 states/eV per cell
DFT total energy ... -3.87 eV per atom
Magnetization ... 0.00 μB per formula unit

a b c (Å): 9.160 9.160 5.351
angles (deg): 90.00 90.00 123.43
Element x y z (fractional)
Tb 0.000 0.000 0.000
Tb 0.217 0.430 0.000
Tb 0.296 0.704 0.500
Tb 0.430 0.217 0.000
Tb 0.570 0.783 0.000
Tb 0.704 0.296 0.500
Tb 0.783 0.570 0.000
Dy 0.208 0.792 0.000
Dy 0.792 0.208 0.000
In 0.500 0.500 0.500

[6]
The following is a DFT calculation (PBE) of SiIrSe after structural relaxation.

ΔE_f (raw) ... -0.015 eV per atom
Symmetry ... P3m1, No. 156
DOS(E_F) ... 2.564 states/eV per cell
Magnetization ... 0.00 μB per formula unit

a b c (Å): 3.750 3.750 5.078
angles (deg): 90.00 90.00 120.00
Element x y z (fractional)
Si 0.000 0.000 0.000
Ir 0.667 0.333 0.174
Se 0.333 0.667 0.459